Record 1
PmGaPd2: optimized geometry, PBE.

* formation enthalpy at 0 K: -0.6075 eV/atom

Geometry as POSCAR:
```
PmGaPd2
1.0
3.735 0.000 0.000
0.000 4.562 0.000
0.000 0.000 4.562
Pd Pm Ga
2 1 1
Cartesian
0.000 2.281 0.000 Pd
0.000 0.000 2.281 Pd
1.867 2.281 2.281 Pm
1.867 0.000 0.000 Ga
```

***

Record 2
PmGaPd2: optimized geometry, PBE.

* formation enthalpy at 0 K: -0.7003 eV/atom

Geometry as POSCAR:
```
PmGaPd2
1.0
4.768 0.000 0.000
2.384 4.129 0.000
2.384 1.376 3.893
Pd Pm Ga
2 1 1
Cartesian
2.384 1.376 0.973 Pd
7.152 4.129 2.920 Pd
0.000 0.000 0.000 Pm
4.768 2.753 1.947 Ga
```

***

Record 3
PmGa6Pd: optimized geometry, PBE.

* formation enthalpy at 0 K: -0.4680 eV/atom

Geometry as POSCAR:
```
PmGa6Pd
1.0
-2.442 3.332 1.478
-2.789 -2.853 1.825
4.267 0.137 6.737
Pd Ga Pm
1 6 1
Cartesian
2.134 0.069 3.369 Pd
1.010 0.356 7.376 Ga
0.005 -1.382 3.121 Ga
0.178 1.711 2.948 Ga
1.647 1.758 5.268 Ga
-1.974 0.260 2.665 Ga
1.473 -1.334 5.441 Ga
0.000 0.000 0.000 Pm
```

***

Record 4
PmGaPd4: optimized geometry, PBE.

* distance to the lowest polymorph of the same formula: 0 meV/atom
* formation enthalpy at 0 K: -0.7000 eV/atom

Geometry as POSCAR:
```
PmGaPd4
1.0
-2.225 0.594 -3.258
-5.742 -1.745 3.604
-0.984 7.418 2.023
Pd Pm Ga
8 2 2
Cartesian
0.000 0.000 0.000 Pd
-3.798 6.799 1.390 Pd
-0.492 3.709 1.012 Pd
-1.619 2.072 -0.959 Pd
-5.153 -0.533 0.979 Pd
-3.408 3.856 0.587 Pd
-5.543 2.411 1.782 Pd
-7.332 4.195 3.329 Pd
-4.448 4.436 3.846 Pm
-2.278 1.237 1.781 Pm
-1.980 5.186 2.297 Ga
-4.747 0.487 3.330 Ga
```

***

Q: formation enthalpy at 0 K of number 4 (PmGaPd4)?
A: -0.7000 eV/atom

***

Q: The highest formation enthalpy at 0 K belongs to which entry?
A: PmGa6Pd

***

Q: Which of these has the highest formation enthalpy at 0 K?
A: PmGa6Pd